Record 1
## Fe2OsCl (meta-GGA SCAN)

Data for Fe2OsCl at its PBEsol-relaxed geometry.

## Properties
* theoretical density: 10.97 g/cm3
* formation energy without anion corrections: 300 meV per atom
* excess energy over the best structure of this formula in the dataset: 0.000 eV/atom
* DOS(E_F): 1.04 states/eV per atom

a = 2.753 Å, b = 2.753 Å, c = 7.942 Å
α = 80.02°, β = 80.02°, γ = 60.00°
Fractional coordinates of all 4 atoms:
Cl1 0.000 0.000 0.000
Os1 0.500 0.500 0.500
Fe1 0.253 0.253 0.241
Fe2 0.747 0.747 0.759

=====

Record 2
## FeOs2Cl (meta-GGA SCAN)

Data for FeOs2Cl at its PBEsol-relaxed geometry.

## Properties
* theoretical density: 14.24 g/cm3
* formation energy without anion corrections: 845 meV per atom
* excess energy over the best structure of this formula in the dataset: 0.190 eV/atom
* DOS(E_F): 0.77 states/eV per atom

a = 2.827 Å, b = 2.826 Å, c = 6.885 Å
α = 90.00°, β = 90.00°, γ = 90.00°
Fractional coordinates of all 4 atoms:
Os1 0.000 0.000 0.284
Os2 0.000 0.000 0.716
Fe1 0.500 0.500 0.500
Cl1 0.500 0.500 0.000